# PBE+U PaVGeO6, optimized geometry
data_PaVGeO6
_symmetry_space_group_name_H-M 'P 1'
_symmetry_Int_Tables_number 1
_cell_length_a 5.474
_cell_length_b 5.474
_cell_length_c 9.342
_cell_angle_alpha 90.00
_cell_angle_beta 90.00
_cell_angle_gamma 120.00
loop_
_symmetry_equiv_pos_as_xyz
'x,y,z'
loop_
_atom_site_label
_atom_site_type_symbol
_atom_site_fract_x
_atom_site_fract_y
_atom_site_fract_z
Pa1 Pa 0.333 0.667 0.250
Pa2 Pa 0.667 0.333 0.750
V1 V 0.333 0.667 0.750
V2 V 0.667 0.333 0.250
Ge1 Ge 0.000 0.000 0.000
Ge2 Ge 0.000 0.000 0.500
O1 O 0.036 0.378 0.638
O2 O 0.036 0.657 0.862
O3 O 0.343 0.378 0.862
O4 O 0.343 0.964 0.638
O5 O 0.378 0.036 0.138
O6 O 0.378 0.343 0.362
O7 O 0.622 0.657 0.638
O8 O 0.622 0.964 0.862
O9 O 0.657 0.036 0.362
O10 O 0.657 0.622 0.138
O11 O 0.964 0.343 0.138
O12 O 0.964 0.622 0.362
# Volume (A^3/atom): 13.47
# Total moment (μB/cell): 0.099
# Raw total energy (eV per atom): -7.914
# Space-group type: P-31c, No. 163